Sm8Sb2Pb: optimized geometry, GGA-PBE.

The structure belongs to space group C2/m (No. 12); the cell edges are 19.4988, 4.9062 and 7.4832 Å and the angles 90.00°, 98.97° and 90.00°. The inequivalent atoms are Sm at (0.0168, 0.0000, 0.2507), Sm at (0.0968, 0.5000, 0.9934), Sm at (0.1648, 0.5000, 0.5232), Sm at (0.2163, 0.0000, 0.8531), Sb at (0.1805, 0.0000, 0.2637) and Pb at (0.0000, 0.5000, 0.5000).

For the formation energy from raw total energies, the calculation gives -0.4431 eV per atom.

=====

Sm6SbTe3Pb2: optimized geometry, GGA-PBE.

The structure belongs to space group C2/m (No. 12); the cell edges are 19.5437, 4.4963 and 8.9723 Å and the angles 90.00°, 103.12° and 90.00°. The inequivalent atoms are Sm at (0.0023, 0.0000, 0.2448), Sm at (0.1645, 0.5000, 0.0877), Sm at (0.1681, 0.5000, 0.5786), Sb at (0.0000, 0.5000, 0.0000), Te at (0.0000, 0.5000, 0.5000), Te at (0.1661, 0.0000, 0.8334) and Pb at (0.1666, 0.0000, 0.3326).

For the formation energy from raw total energies, the calculation gives -1.1183 eV per atom.

=====

Sm4Sb2TePb: optimized geometry, GGA-PBE.

The structure belongs to space group P2/m (No. 10); the cell edges are 7.7757, 4.4558 and 7.7780 Å and the angles 90.00°, 109.17° and 90.00°. The inequivalent atoms are Sm at (0.2437, 0.0000, 0.2439), Sm at (0.2457, 0.5000, 0.7493), Sb at (0.0000, 0.0000, 0.5000), Sb at (0.0000, 0.5000, 0.0000), Te at (0.5000, 0.5000, 0.5000) and Pb at (0.5000, 0.0000, 0.0000).

For the formation energy from raw total energies, the calculation gives -1.0967 eV per atom.

=====

Sm4SbTe2Pb: optimized geometry, GGA-PBE.

The structure belongs to space group P2/m (No. 10); the cell edges are 7.7569, 4.4897 and 7.7622 Å and the angles 90.00°, 109.49° and 90.00°. The inequivalent atoms are Sm at (0.2404, 0.0000, 0.2472), Sm at (0.2416, 0.5000, 0.7471), Sb at (0.0000, 0.5000, 0.0000), Te at (0.5000, 0.0000, 0.0000), Te at (0.5000, 0.5000, 0.5000) and Pb at (0.0000, 0.0000, 0.5000).

For the formation energy from raw total energies, the calculation gives -1.1749 eV per atom.

=====

Sm8Sb3Te4Pb: optimized geometry, GGA-PBE.

The structure belongs to space group R-3m (No. 166, hexagonal axes); the cell edges are 8.9505, 8.9505 and 21.9165 Å and the angles 90.00°, 90.00° and 120.00°. The inequivalent atoms are Sm at (0.0000, 0.0000, 0.2465), Sm at (0.0001, 0.5001, 0.2469), Sb at (0.0000, 0.5000, 0.5000), Te at (0.0000, 0.0000, 0.0000), Te at (0.0000, 0.5000, 0.0000) and Pb at (0.0000, 0.0000, 0.5000).

For the formation energy from raw total energies, the calculation gives -1.2493 eV per atom.

=====

Sm6SbTe2Pb3: optimized geometry, GGA-PBE.

The structure belongs to space group C2/m (No. 12); the cell edges are 19.7502, 4.4470 and 9.0927 Å and the angles 90.00°, 105.12° and 90.00°. The inequivalent atoms are Sm at (0.9996, 0.0000, 0.2453), Sm at (0.1654, 0.5000, 0.0803), Sm at (0.1662, 0.5000, 0.5854), Sb at (0.0000, 0.5000, 0.0000), Te at (0.1668, 0.0000, 0.3337), Pb at (0.0000, 0.5000, 0.5000) and Pb at (0.1677, 0.0000, 0.8331).

For the formation energy from raw total energies, the calculation gives -0.9347 eV per atom.

=====

Copy entry 4 word for word.
Sm4SbTe2Pb: optimized geometry, GGA-PBE.

The structure belongs to space group P2/m (No. 10); the cell edges are 7.7569, 4.4897 and 7.7622 Å and the angles 90.00°, 109.49° and 90.00°. The inequivalent atoms are Sm at (0.2404, 0.0000, 0.2472), Sm at (0.2416, 0.5000, 0.7471), Sb at (0.0000, 0.5000, 0.0000), Te at (0.5000, 0.0000, 0.0000), Te at (0.5000, 0.5000, 0.5000) and Pb at (0.0000, 0.0000, 0.5000).

For the formation energy from raw total energies, the calculation gives -1.1749 eV per atom.

=====

Q: Which of these has the highest formation energy from raw total energies?
A: Sm8Sb2Pb

=====

Q: formation energy from raw total energies of number 3 (Sm4Sb2TePb)?
A: -1.0967 eV per atom